A relaxed Sr4HgRh crystal, computed with PBE.

The value obtained for the magnetic moment is 0.00 μB per cell. For the energy relative to the lowest polymorph listed for this composition, the calculation gives 47 meV per atom. Its raw total energy is -16.01 eV per formula unit. Its calculated formation energy is -0.271 eV/atom. The volume comes out at 237.1 Å³/f.u. For the density of states at the Fermi level, the calculation gives 17.0 states/eV/cell.

The space group is C2/c (No. 15) and the conventional cell measures 10.051, 15.897 and 7.534 Å, with angles of 90.00, 128.02 and 90.00 degrees. The asymmetric unit holds Sr at (0.155, 0.211, 0.160), Sr at (0.237, 0.035, 0.734), Hg at (0.000, 0.371, 0.750) and Rh at (0.000, 0.083, 0.250).

A relaxed Sr4Hg2Rh crystal, computed with PBE.

The value obtained for the magnetic moment is 0.00 μB per cell. For the energy relative to the lowest polymorph listed for this composition, the calculation gives 0 meV per atom. Its raw total energy is -17.22 eV per formula unit. Its calculated formation energy is -0.363 eV/atom. The volume comes out at 241.0 Å³/f.u. For the density of states at the Fermi level, the calculation gives 8.1 states/eV/cell.

The space group is C2/m (No. 12) and the conventional cell measures 14.621, 5.205 and 6.766 Å, with angles of 90.00, 110.62 and 90.00 degrees. The asymmetric unit holds Sr at (0.076, 0.000, 0.271), Sr at (0.145, 0.500, 0.777), Hg at (0.212, 0.500, 0.300) and Rh at (0.000, 0.500, 0.000).

A relaxed SrHgRh2 crystal, computed with PBE.

The value obtained for the magnetic moment is 0.00 μB per cell. Its raw total energy is -16.29 eV per formula unit. Its calculated formation energy is 0.099 eV/atom. The volume comes out at 80.0 Å³/f.u. For the density of states at the Fermi level, the calculation gives 9.1 states/eV/cell.

The space group is I-4m2 (No. 119) and the conventional cell measures 4.220, 4.220 and 8.982 Å, with angles of 90.00, 90.00 and 90.00 degrees. The asymmetric unit holds Sr at (0.000, 0.000, 0.000), Hg at (0.000, 0.500, 0.750), Rh at (0.000, 0.000, 0.500) and Rh at (0.000, 0.500, 0.250).

A relaxed Sr2Hg2Rh crystal, computed with PBE.

The value obtained for the magnetic moment is 0.00 μB per cell. For the energy relative to the lowest polymorph listed for this composition, the calculation gives 198 meV per atom. Its raw total energy is -12.45 eV per formula unit. Its calculated formation energy is -0.226 eV/atom. The volume comes out at 140.3 Å³/f.u. For the density of states at the Fermi level, the calculation gives 7.5 states/eV/cell.

The space group is P4/mbm (No. 127) and the conventional cell measures 7.592, 7.592 and 4.869 Å, with angles of 90.00, 90.00 and 90.00 degrees. The asymmetric unit holds Sr at (0.179, 0.321, 0.000), Hg at (0.138, 0.638, 0.500) and Rh at (0.000, 0.000, 0.500).

A relaxed SrHg3Rh crystal, computed with PBE.

The value obtained for the magnetic moment is 0.00 μB per cell. For the energy relative to the lowest polymorph listed for this composition, the calculation gives 0 meV per atom. Its raw total energy is -11.15 eV per formula unit. Its calculated formation energy is -0.242 eV/atom. The volume comes out at 127.1 Å³/f.u. For the density of states at the Fermi level, the calculation gives 6.8 states/eV/cell.

The space group is P6_3/mmc (No. 194) and the conventional cell measures 7.0339, 7.0339 and 5.9313 Å, with angles of 90.00, 90.00 and 120.00 degrees. The asymmetric unit holds Sr at (0.3333, 0.6667, 0.2500), Hg at (0.1892, 0.3784, 0.7500) and Rh at (0.0000, 0.0000, 0.0000).

A relaxed Sr4HgRh crystal, computed with PBE.

The value obtained for the magnetic moment is 0.00 μB per cell. For the energy relative to the lowest polymorph listed for this composition, the calculation gives 1005 meV per atom. Its raw total energy is -10.26 eV per formula unit. Its calculated formation energy is 0.687 eV/atom. The volume comes out at 213.3 Å³/f.u. For the density of states at the Fermi level, the calculation gives 32.2 states/eV/cell.

The space group is F-43m (No. 216) and the conventional cell measures 9.485, 9.485 and 9.485 Å, with angles of 90.00, 90.00 and 90.00 degrees. The asymmetric unit holds Sr at (0.124, 0.124, 0.376), Hg at (0.000, 0.000, 0.000) and Rh at (0.250, 0.250, 0.750).

A relaxed SrHg3Rh crystal, computed with PBE.

The value obtained for the magnetic moment is 0.02 μB per cell. For the energy relative to the lowest polymorph listed for this composition, the calculation gives 1316 meV per atom. Its raw total energy is -4.57 eV per formula unit. Its calculated formation energy is 1.074 eV/atom. The volume comes out at 215.0 Å³/f.u. For the density of states at the Fermi level, the calculation gives 12.2 states/eV/cell.

The space group is Pm-3m (No. 221) and the conventional cell measures 5.990, 5.990 and 5.990 Å, with angles of 90.00, 90.00 and 90.00 degrees. The asymmetric unit holds Sr at (0.000, 0.000, 0.000), Hg at (0.000, 0.000, 0.500) and Rh at (0.500, 0.500, 0.500).

A relaxed Sr6HgRh crystal, computed with PBE.

The value obtained for the magnetic moment is 0.00 μB per cell. Its raw total energy is -19.65 eV per formula unit. Its calculated formation energy is -0.238 eV/atom. The volume comes out at 363.1 Å³/f.u. For the density of states at the Fermi level, the calculation gives 6.1 states/eV/cell.

The space group is P-1 (No. 2) and the conventional cell measures 7.564, 7.564 and 8.526 Å, with angles of 89.98, 63.68 and 60.03 degrees. The asymmetric unit holds Sr at (0.030, 0.400, 0.235), Sr at (0.335, 0.765, 0.235), Sr at (0.335, 0.930, 0.765), Hg at (0.500, 0.500, 0.500) and Rh at (0.500, 0.000, 0.000).

A relaxed Sr6Hg2Rh crystal, computed with PBE.

The value obtained for the magnetic moment is 0.00 μB per cell. Its raw total energy is -21.10 eV per formula unit. Its calculated formation energy is -0.340 eV/atom. The volume comes out at 359.8 Å³/f.u. For the density of states at the Fermi level, the calculation gives 12.8 states/eV/cell.

The space group is P2_1/c (No. 14) and the conventional cell measures 7.461, 8.655 and 13.362 Å, with angles of 90.00, 123.50 and 90.00 degrees. The asymmetric unit holds Sr at (0.096, 0.194, 0.441), Sr at (0.269, 0.667, 0.440), Sr at (0.376, 0.030, 0.246), Hg at (0.187, 0.115, 0.742) and Rh at (0.000, 0.000, 0.000).

A relaxed Sr5Hg2Rh crystal, computed with PBE.

The value obtained for the magnetic moment is 0.00 μB per cell. Its raw total energy is -19.07 eV per formula unit. Its calculated formation energy is -0.338 eV/atom. The volume comes out at 299.1 Å³/f.u. For the density of states at the Fermi level, the calculation gives 22.0 states/eV/cell.

The space group is C2/c (No. 15) and the conventional cell measures 18.748, 7.489 and 8.619 Å, with angles of 90.00, 98.60 and 90.00 degrees. The asymmetric unit holds Sr at (0.000, 0.089, 0.250), Sr at (0.100, 0.379, 0.929), Sr at (0.221, 0.083, 0.306), Hg at (0.103, 0.198, 0.577) and Rh at (0.250, 0.250, 0.000).

A relaxed Sr2Hg2Rh crystal, computed with PBE.

The value obtained for the magnetic moment is 0.00 μB per cell. For the energy relative to the lowest polymorph listed for this composition, the calculation gives 0 meV per atom. Its raw total energy is -13.44 eV per formula unit. Its calculated formation energy is -0.424 eV/atom. The volume comes out at 142.7 Å³/f.u. For the density of states at the Fermi level, the calculation gives 9.8 states/eV/cell.

The space group is C2/m (No. 12) and the conventional cell measures 11.543, 4.406 and 12.143 Å, with angles of 90.00, 112.44 and 90.00 degrees. The asymmetric unit holds Sr at (0.004, 0.000, 0.342), Sr at (0.197, 0.000, 0.133), Hg at (0.024, 0.500, 0.885), Hg at (0.170, 0.500, 0.555) and Rh at (0.193, 0.500, 0.317).

A relaxed Sr4Hg2Rh crystal, computed with PBE.

The value obtained for the magnetic moment is 0.00 μB per cell. For the energy relative to the lowest polymorph listed for this composition, the calculation gives 178 meV per atom. Its raw total energy is -15.98 eV per formula unit. Its calculated formation energy is -0.185 eV/atom. The volume comes out at 288.1 Å³/f.u. For the density of states at the Fermi level, the calculation gives 12.8 states/eV/cell.

The space group is I4/mmm (No. 139) and the conventional cell measures 5.520, 5.520 and 18.914 Å, with angles of 90.00, 90.00 and 90.00 degrees. The asymmetric unit holds Sr at (0.000, 0.000, 0.183), Sr at (0.000, 0.500, 0.000), Hg at (0.000, 0.000, 0.357) and Rh at (0.000, 0.000, 0.500).